# Y3HoPt8, optimized geometry, DFT GGA-PBE
data_Y3HoPt8
_symmetry_space_group_name_H-M 'P 3 m 1'
_symmetry_Int_Tables_number 156
_cell_length_a 5.4557
_cell_length_b 5.4557
_cell_length_c 8.8780
_cell_angle_alpha 90.00
_cell_angle_beta 90.00
_cell_angle_gamma 120.00
loop_
_symmetry_equiv_pos_as_xyz
'x,y,z'
'-y,x-y,z'
'-x+y,-x,z'
'-y,-x,z'
'-x+y,y,z'
'x,x-y,z'
loop_
_atom_site_label
_atom_site_fract_x
_atom_site_fract_y
_atom_site_fract_z
_atom_site_occupancy
Y1 0.0000 0.0000 0.0000 1
Y2 0.0000 0.0000 0.3709 1
Y3 0.3333 0.6667 0.8686 1
Ho1 0.3333 0.6667 0.4990 1
Pt1 0.0051 0.5025 0.1854 1
Pt2 0.3286 0.1643 0.6844 1
Pt3 0.6667 0.3333 0.4350 1
Pt4 0.6667 0.3333 0.9352 1
# - energy relative to the elements (meV/atom) = -1064
# - crystal system = trigonal

---

# YHoPt2, optimized geometry, DFT GGA-PBE
data_YHoPt2
_symmetry_space_group_name_H-M 'R 3 m'
_symmetry_Int_Tables_number 160
_symmetry_space_group_name_Hall 'R 3 -2"'
_cell_length_a 4.0210
_cell_length_b 4.0210
_cell_length_c 20.5869
_cell_angle_alpha 90.00
_cell_angle_beta 90.00
_cell_angle_gamma 120.00
loop_
_atom_site_label
_atom_site_fract_x
_atom_site_fract_y
_atom_site_fract_z
_atom_site_occupancy
Y1 0.0000 0.0000 0.0000 1
Ho1 0.0000 0.0000 0.8279 1
Pt1 0.0000 0.0000 0.2475 1
Pt2 0.0000 0.0000 0.4137 1
# - energy relative to the elements (meV/atom) = -1087
# - energy above the lowest structure with this stoichiometry (meV/atom) = 189.6
# - crystal system = trigonal

---

# YHoPt, optimized geometry, DFT GGA-PBE
data_YHoPt
_symmetry_space_group_name_H-M 'C m c m'
_symmetry_Int_Tables_number 63
_symmetry_space_group_name_Hall '-C 2c 2'
_cell_length_a 3.617
_cell_length_b 15.908
_cell_length_c 5.141
_cell_angle_alpha 90.00
_cell_angle_beta 90.00
_cell_angle_gamma 90.00
loop_
_atom_site_label
_atom_site_fract_x
_atom_site_fract_y
_atom_site_fract_z
_atom_site_occupancy
Y1 0.000 0.073 0.250 1
Ho1 0.000 0.218 0.750 1
Pt1 0.000 0.423 0.250 1
# - energy relative to the elements (meV/atom) = -815
# - energy above the lowest structure with this stoichiometry (meV/atom) = 57.4
# - crystal system = orthorhombic

---

# Y2HoPt, optimized geometry, DFT GGA-PBE
data_Y2HoPt
_symmetry_space_group_name_H-M 'P 4/m m m'
_symmetry_Int_Tables_number 123
_symmetry_space_group_name_Hall '-P 4 2'
_cell_length_a 3.577
_cell_length_b 3.577
_cell_length_c 8.411
_cell_angle_alpha 90.00
_cell_angle_beta 90.00
_cell_angle_gamma 90.00
loop_
_atom_site_label
_atom_site_fract_x
_atom_site_fract_y
_atom_site_fract_z
_atom_site_occupancy
Y1 0.000 0.000 0.197 1
Ho1 0.500 0.500 0.500 1
Pt1 0.500 0.500 0.000 1
# - energy relative to the elements (meV/atom) = -568
# - energy above the lowest structure with this stoichiometry (meV/atom) = 148.3
# - crystal system = tetragonal

---

# YHo2Pt, optimized geometry, DFT GGA-PBE
data_YHo2Pt
_symmetry_space_group_name_H-M 'R -3 m'
_symmetry_Int_Tables_number 166
_symmetry_space_group_name_Hall '-R 3 2"'
_cell_length_a 3.7923
_cell_length_b 3.7923
_cell_length_c 28.3182
_cell_angle_alpha 90.00
_cell_angle_beta 90.00
_cell_angle_gamma 120.00
loop_
_atom_site_label
_atom_site_fract_x
_atom_site_fract_y
_atom_site_fract_z
_atom_site_occupancy
Y1 0.0000 0.0000 0.0000 1
Ho1 0.0000 0.0000 0.2286 1
Pt1 0.0000 0.0000 0.5000 1
# - energy relative to the elements (meV/atom) = -505
# - energy above the lowest structure with this stoichiometry (meV/atom) = 219.6
# - crystal system = trigonal

---

# YHoPt, optimized geometry, DFT GGA-PBE
data_YHoPt
_symmetry_space_group_name_H-M 'F -4 3 m'
_symmetry_Int_Tables_number 216
_symmetry_space_group_name_Hall 'F -4 2 3'
_cell_length_a 6.867
_cell_length_b 6.867
_cell_length_c 6.867
_cell_angle_alpha 90.00
_cell_angle_beta 90.00
_cell_angle_gamma 90.00
loop_
_atom_site_label
_atom_site_fract_x
_atom_site_fract_y
_atom_site_fract_z
_atom_site_occupancy
Y1 0.000 0.000 0.000 1
Ho1 0.000 0.000 0.500 1
Pt1 0.250 0.250 0.250 1
# - energy relative to the elements (meV/atom) = -870
# - energy above the lowest structure with this stoichiometry (meV/atom) = 2.8
# - crystal system = cubic